# PBE Cs3Pa3RuSe8, relaxed
# Fermi-level density of states (states/eV/cell): 19.2
# SG: No. 166
# Raw formation energy (eV/f.u.): -16.88
# Size of the total moment (μB per formula unit): 3.99
data_Cs3Pa3RuSe8
_chemical_formula_sum 'Cs3 Pa3 Ru1 Se8'
_cell_length_a 9.938
_cell_length_b 9.938
_cell_length_c 9.938
_cell_angle_alpha 47.81
_cell_angle_beta 47.81
_cell_angle_gamma 47.81
_space_group_name_H-M_alt 'P 1'
_space_group_IT_number 1
loop_
_space_group_symop_operation_xyz
'x,y,z'
loop_
_atom_site_label
_atom_site_type_symbol
_atom_site_fract_x
_atom_site_fract_y
_atom_site_fract_z
_atom_site_occupancy
Cs1 Cs 0.000 0.500 0.500 1
Cs2 Cs 0.500 0.000 0.500 1
Cs3 Cs 0.500 0.500 0.000 1
Pa1 Pa 0.000 0.000 0.500 1
Pa2 Pa 0.000 0.500 0.000 1
Pa3 Pa 0.500 0.000 0.000 1
Ru1 Ru 0.500 0.500 0.500 1
Se1 Se 0.232 0.232 0.232 1
Se2 Se 0.250 0.714 0.714 1
Se3 Se 0.286 0.286 0.750 1
Se4 Se 0.286 0.750 0.286 1
Se5 Se 0.714 0.250 0.714 1
Se6 Se 0.714 0.714 0.250 1
Se7 Se 0.750 0.286 0.286 1
Se8 Se 0.768 0.768 0.768 1



# PBE Cs3PaS4, relaxed
# SG: No. 139
# Raw formation energy (eV/f.u.): -9.49
# Size of the total moment (μB per formula unit): 0.00
data_Cs3PaS4
_chemical_formula_sum 'Cs3 Pa1 S4'
_cell_length_a 7.541
_cell_length_b 7.541
_cell_length_c 7.541
_cell_angle_alpha 111.99
_cell_angle_beta 111.99
_cell_angle_gamma 104.54
_space_group_name_H-M_alt 'P 1'
_space_group_IT_number 1
loop_
_space_group_symop_operation_xyz
'x,y,z'
loop_
_atom_site_label
_atom_site_type_symbol
_atom_site_fract_x
_atom_site_fract_y
_atom_site_fract_z
_atom_site_occupancy
Cs1 Cs 0.000 0.000 0.000 1
Cs2 Cs 0.250 0.750 0.500 1
Cs3 Cs 0.750 0.250 0.500 1
Pa1 Pa 0.500 0.500 0.000 1
S1 S 0.287 0.287 0.575 1
S2 S 0.287 0.713 0.000 1
S3 S 0.713 0.287 0.000 1
S4 S 0.713 0.713 0.425 1